Model 1:
{
  "formula": "Na6NiO4",
  "functional": "PBEsol",
  "state": "optimized geometry",
  "dos_at_fermi_per_ev_cell": 12.13,
  "total_magnetization_mub_per_fu": 2.00,
  "volume_a3_per_atom": 13.231,
  "crystal_system": "tetragonal",
  "cell": [[-1.5244, -4.1838, 2.9169], [-3.5275, -2.8028, -5.8636], [6.1444, -3.6121, -1.9698]],
  "species": ["Na", "Na", "Na", "Na", "Na", "Na", "Na", "Na", "Na", "Na", "Na", "Na", "Ni", "Ni", "O", "O", "O", "O", "O", "O", "O", "O"],
  "fractional_positions": [[0.3946, 0.5000, 0.0000], [0.6054, 0.0000, 0.5000], [0.8946, 0.5000, 0.0000], [0.1054, 0.0000, 0.5000], [0.5000, 0.2902, 0.2902], [0.5000, 0.2902, 0.7098], [0.5000, 0.7098, 0.2902], [0.5000, 0.7098, 0.7098], [0.0000, 0.7902, 0.7902], [0.0000, 0.7902, 0.2098], [0.0000, 0.2098, 0.7902], [0.0000, 0.2098, 0.2098], [0.0000, 0.5000, 0.5000], [0.5000, 0.0000, 0.0000], [0.6653, 0.2454, 0.0000], [0.6653, 0.7546, 0.0000], [0.3347, 0.0000, 0.7546], [0.3347, 0.0000, 0.2454], [0.1653, 0.5000, 0.7454], [0.1653, 0.5000, 0.2546], [0.8347, 0.7454, 0.5000], [0.8347, 0.2546, 0.5000]]
}

=====

Model 2:
{
  "formula": "Na6NiO4",
  "functional": "PBEsol",
  "state": "optimized geometry",
  "dos_at_fermi_per_ev_cell": 8.18,
  "total_magnetization_mub_per_fu": 2.01,
  "volume_a3_per_atom": 13.026,
  "crystal_system": "orthorhombic",
  "cell": [[-1.3165, 2.4503, -5.0852], [-7.2289, -0.8378, 1.4615], [3.5092, 6.4081, 2.1824]],
  "species": ["Na", "Na", "Na", "Na", "Na", "Na", "Na", "Na", "Na", "Na", "Na", "Na", "Ni", "Ni", "O", "O", "O", "O", "O", "O", "O", "O"],
  "fractional_positions": [[0.0293, 0.1384, 0.8537], [0.3460, 0.4611, 0.9220], [0.0292, 0.7152, 0.8535], [0.3761, 0.0706, 0.5407], [0.3759, 0.4700, 0.5406], [0.5381, 0.8624, 0.7250], [0.0381, 0.1374, 0.2750], [0.8761, 0.5299, 0.4593], [0.8759, 0.9294, 0.4594], [0.5293, 0.2848, 0.1463], [0.8460, 0.5391, 0.0780], [0.5292, 0.8617, 0.1465], [0.7578, 0.3357, 0.6713], [0.2578, 0.6644, 0.3287], [0.6403, 0.2053, 0.8232], [0.6403, 0.6180, 0.8235], [0.0884, 0.3209, 0.6414], [0.6548, 0.1928, 0.3858], [0.1548, 0.8070, 0.6142], [0.1403, 0.3821, 0.1768], [0.5884, 0.6795, 0.3586], [0.1403, 0.7945, 0.1765]]
}

=====

Ranking the structures above by stability puts model 2 first and model 1 last.